Crystalline Na3Er3GeO8 at its relaxed geometry. Source: Alexandria via LeMat-Bulk, functional GGA-PBE.

Output
- SG = R-3m
- magnetic moment (Bohr magnetons per cell) = 0.000
- formation energy from raw total energies (eV per atom) = -2.579

```
Na3Er3GeO8
1.0
3.2965 1.9032 5.5511
-3.2965 1.9032 5.5511
0.0000 -3.8064 5.5511
Na Er Ge O
3 3 1 8
direct
0.0000 0.5000 0.5000 Na
0.5000 0.0000 0.5000 Na
0.5000 0.5000 0.0000 Na
0.0000 0.0000 0.5000 Er
0.0000 0.5000 0.0000 Er
0.5000 0.0000 0.0000 Er
0.5000 0.5000 0.5000 Ge
0.2354 0.2354 0.2354 O
0.2700 0.7119 0.7119 O
0.2881 0.2881 0.7300 O
0.2881 0.7300 0.2881 O
0.7119 0.2700 0.7119 O
0.7119 0.7119 0.2700 O
0.7300 0.2881 0.2881 O
0.7646 0.7646 0.7646 O
```